Entry 1:
# Mg5TlCd2Pd2 (PBE, optimized geometry)
data_Mg5TlCd2Pd2
_symmetry_space_group_name_H-M 'P 1'
_symmetry_Int_Tables_number 1
_symmetry_space_group_name_Hall 'P 1'
_cell_length_a 3.811
_cell_length_b 10.548
_cell_length_c 10.548
_cell_angle_alpha 90.00
_cell_angle_beta 90.00
_cell_angle_gamma 90.00
loop_
_atom_site_label
_atom_site_fract_x
_atom_site_fract_y
_atom_site_fract_z
Mg1 0.500 0.000 0.500
Mg2 0.500 0.920 0.210
Mg3 0.500 0.790 0.920
Mg4 0.500 0.290 0.580
Mg5 0.500 0.500 0.000
Mg6 0.500 0.420 0.290
Mg7 0.500 0.080 0.790
Mg8 0.500 0.210 0.080
Mg9 0.500 0.710 0.420
Mg10 0.500 0.580 0.710
Pd1 0.000 0.624 0.876
Pd2 0.000 0.876 0.376
Pd3 0.000 0.376 0.124
Pd4 0.000 0.124 0.624
Cd1 0.000 0.332 0.832
Cd2 0.000 0.168 0.332
Cd3 0.000 0.832 0.668
Cd4 0.000 0.668 0.168
Tl1 0.000 0.000 0.000
Tl2 0.000 0.500 0.500
# - energy of formation (meV/atom) = -275
# - density (Mg/m³) = 6.0

=====

Entry 2:
# MgTl2CdPd (PBE, optimized geometry)
data_MgTl2CdPd
_symmetry_space_group_name_H-M 'P 1'
_symmetry_Int_Tables_number 1
_symmetry_space_group_name_Hall 'P 1'
_cell_length_a 5.544
_cell_length_b 5.153
_cell_length_c 5.544
_cell_angle_alpha 90.00
_cell_angle_beta 90.00
_cell_angle_gamma 90.00
loop_
_atom_site_label
_atom_site_fract_x
_atom_site_fract_y
_atom_site_fract_z
Tl1 0.500 0.000 0.000
Tl2 0.000 0.000 0.500
Mg1 0.500 0.500 0.500
Pd1 0.000 0.500 0.000
Cd1 0.000 0.000 0.000
# - energy of formation (meV/atom) = 449
# - density (Mg/m³) = 6.8

=====

- Number 1 is which compound?
  Mg5TlCd2Pd2